Below is a relaxed structure of Ac2Ge2Bi, with properties calculated at the PBE level.

a b c (Å): 4.505 4.372 7.958
angles (deg): 105.94 90.00 90.00
Fractional positions:
Ac1 0.500 0.367 0.734
Ac2 0.500 0.633 0.266
Bi1 0.000 0.000 0.000
Ge1 0.000 0.798 0.595
Ge2 0.000 0.202 0.405

Calculated values
Distance to the lowest polymorph of the same formula, eV/f.u.: 0.00
Calculated volume, Å³ per cell: 150.70
Total magnetization, μB/f.u.: 0.00
Energy of formation, meV/atom: -746
DOS at the Fermi energy, states/eV/f.u.: 2.206


Below is a relaxed structure of AcGeBi, with properties calculated at the PBE level.

a b c (Å): 5.246 5.246 5.246
angles (deg): 60.00 60.00 60.00
Fractional positions:
Ge1 0.250 0.250 0.250
Ac1 0.000 0.000 0.000
Bi1 0.500 0.500 0.500

Calculated values
Distance to the lowest polymorph of the same formula, eV/f.u.: 0.95
Calculated volume, Å³ per cell: 102.10
Total magnetization, μB/f.u.: 0.00
Energy of formation, meV/atom: -357
DOS at the Fermi energy, states/eV/f.u.: 2.150


Below is a relaxed structure of Ac5Ge2Bi, with properties calculated at the PBE level.

a b c (Å): 8.782 8.782 9.634
angles (deg): 117.12 117.12 90.00
Site moments in Bohr magnetons follow the coordinates.
Fractional positions:
Ac1 0.000 0.000 0.000  0.07
Ac2 0.514 0.709 0.723  0.04
Ac3 0.986 0.486 0.277  0.04
Ac4 0.791 0.986 0.277  0.04
Ac5 0.500 0.500 0.000  0.07
Ac6 0.014 0.514 0.723  0.04
Ac7 0.486 0.291 0.277  0.04
Ac8 0.291 0.791 0.277  0.04
Ac9 0.209 0.014 0.723  0.04
Ac10 0.709 0.209 0.723  0.04
Bi1 0.250 0.250 0.500  -0.01
Bi2 0.750 0.750 0.500  -0.01
Ge1 0.650 0.150 0.000  0.00
Ge2 0.150 0.350 0.000  0.00
Ge3 0.850 0.650 0.000  0.00
Ge4 0.350 0.850 0.000  0.00

Calculated values
Calculated volume, Å³ per cell: 568.06
Total magnetization, μB/f.u.: 0.66
Energy of formation, meV/atom: -639
DOS at the Fermi energy, states/eV/f.u.: 10.304


Below is a relaxed structure of AcGeBi, with properties calculated at the PBE level.

a b c (Å): 4.421 5.003 5.003
angles (deg): 120.00 90.00 90.00
Fractional positions:
Ge1 0.883 0.000 0.000
Bi1 0.797 0.333 0.667
Ac1 0.320 0.667 0.333

Calculated values
Distance to the lowest polymorph of the same formula, eV/f.u.: 0.55
Calculated volume, Å³ per cell: 95.84
Total magnetization, μB/f.u.: 0.00
Energy of formation, meV/atom: -491
DOS at the Fermi energy, states/eV/f.u.: 1.404